The following is a GGA-PBEsol calculation of a geometry-optimized KInHg4 structure, from the Alexandria database.

## Properties
total magnetic moment	0.0	μB/f.u.
E_form	-0.101	eV/atom
electronic total energy	-1.1646	eV/atom
space-group type	F-43m (216)
density of states at the Fermi level	0.480	states/eV per atom

a b c (Å): 6.0508 6.0508 6.0508
angles (deg): 60.00 60.00 60.00
Closest atoms and distances in Å follow each position.
Sites, in units of the cell vectors:
K 0.0000 0.0000 0.0000  12 Hg 3.55, 4 In 3.71
Hg 0.8744 0.3752 0.3752  6 Hg 3.02-3.03
Hg 0.3752 0.8744 0.3752  6 Hg 3.02-3.03
Hg 0.3752 0.3752 0.8744  6 Hg 3.02-3.03
Hg 0.3752 0.3752 0.3752  6 Hg 3.02-3.03
In 0.7500 0.7500 0.7500  12 Hg 3.55, 4 K 3.71